[1]
# TbUCl6, optimized geometry, DFT PBE
data_TbUCl6
_space_group_name_H-M_alt 'P 1'
_space_group_IT_number 1
_space_group_name_Hall 'P 1'
_cell_length_a 7.0597
_cell_length_b 7.0597
_cell_length_c 6.7912
_cell_angle_alpha 97.47
_cell_angle_beta 97.47
_cell_angle_gamma 122.48
loop_
_atom_site_label
_atom_site_type_symbol
_atom_site_fract_x
_atom_site_fract_y
_atom_site_fract_z
Tb1 Tb 0.0000 0.0000 0.0000
U1 U 0.5000 0.5000 0.5000
Cl1 Cl 0.0972 0.3865 0.2436
Cl2 Cl 0.2477 0.2477 0.7554
Cl3 Cl 0.3865 0.0972 0.2436
Cl4 Cl 0.6135 0.9028 0.7564
Cl5 Cl 0.7523 0.7523 0.2446
Cl6 Cl 0.9028 0.6135 0.7564
# * electronic total energy: -5.321 eV per atom
# * ΔE_f (raw): -1.946 eV/atom


[2]
# BaBeAs, optimized geometry, DFT PBE
data_BaBeAs
_space_group_name_H-M_alt 'P 1'
_space_group_IT_number 1
_space_group_name_Hall 'P 1'
_cell_length_a 4.7572
_cell_length_b 4.7572
_cell_length_c 4.7572
_cell_angle_alpha 60.00
_cell_angle_beta 60.00
_cell_angle_gamma 60.00
loop_
_atom_site_label
_atom_site_type_symbol
_atom_site_fract_x
_atom_site_fract_y
_atom_site_fract_z
Ba1 Ba 0.0000 0.0000 0.0000
Be1 Be 0.2500 0.2500 0.2500
As1 As 0.5000 0.5000 0.5000
# * electronic total energy: -3.400 eV per atom